(1)
A plane-wave DFT calculation with meta-GGA SCAN was carried out for Er2P4O13 at its PBEsol-relaxed geometry.

a = 8.975 Å, b = 9.254 Å, c = 13.745 Å
α = 90.00°, β = 107.78°, γ = 90.00°
Space group P2_1/c (No. 14)
Inequivalent atoms, fractional coordinates:
Er1 0.025 0.001 0.217 [4 per cell]
Er2 0.440 0.006 0.224 [4 per cell]
P1 0.174 0.229 0.440 [4 per cell]
P2 0.222 0.199 0.661 [4 per cell]
P3 0.283 0.739 0.341 [4 per cell]
P4 0.486 0.739 0.055 [4 per cell]
O1 0.078 0.136 0.917 [4 per cell]
O2 0.121 0.116 0.711 [4 per cell]
O3 0.131 0.678 0.347 [4 per cell]
O4 0.137 0.112 0.361 [4 per cell]
O5 0.157 0.157 0.541 [4 per cell]
O6 0.207 0.134 0.167 [4 per cell]
O7 0.253 0.632 0.765 [4 per cell]
O8 0.355 0.224 0.971 [4 per cell]
O9 0.373 0.684 0.948 [4 per cell]
O10 0.390 0.627 0.319 [4 per cell]
O11 0.393 0.158 0.698 [4 per cell]
O12 0.423 0.624 0.586 [4 per cell]
O13 0.487 0.113 0.373 [4 per cell]

Raw formation energy ... -2.96 eV/atom
E above lowest polymorph ... 0.00 eV per formula unit
Fermi-level density of states ... 0.00 states/eV per cell
Total magnetic moment ... 0.0 μB per formula unit
Energy ... -1118.25 eV per cell


(2)
A plane-wave DFT calculation with meta-GGA SCAN was carried out for ErP5O14 at its PBEsol-relaxed geometry.

a = 8.708 Å, b = 12.666 Å, c = 8.933 Å
α = 90.00°, β = 90.00°, γ = 90.00°
Space group Pnma (No. 62)
Inequivalent atoms, fractional coordinates:
Er1 0.020 0.250 0.056 [4 per cell]
P1 0.010 0.582 0.297 [8 per cell]
P2 0.074 0.750 0.509 [4 per cell]
P3 0.242 0.571 0.774 [8 per cell]
O1 0.006 0.637 0.152 [8 per cell]
O2 0.025 0.153 0.562 [8 per cell]
O3 0.041 0.750 0.672 [4 per cell]
O4 0.112 0.508 0.679 [8 per cell]
O5 0.156 0.120 0.161 [8 per cell]
O6 0.167 0.530 0.344 [8 per cell]
O7 0.172 0.630 0.899 [8 per cell]
O8 0.231 0.750 0.443 [4 per cell]

Raw formation energy ... -2.61 eV/atom
E above lowest polymorph ... 0.08 eV per formula unit
Fermi-level density of states ... 0.00 states/eV per cell
Total magnetic moment ... 0.0 μB per formula unit
Energy ... -966.99 eV per cell


(3)
A plane-wave DFT calculation with meta-GGA SCAN was carried out for ErP3O9 at its PBEsol-relaxed geometry.

a = 6.956 Å, b = 9.683 Å, c = 10.957 Å
α = 90.00°, β = 91.76°, γ = 90.00°
Space group P2_1/m (No. 11)
Inequivalent atoms, fractional coordinates:
Er1 0.174 0.250 0.463 [2 per cell]
Er2 0.312 0.250 0.982 [2 per cell]
P1 0.177 0.750 0.103 [2 per cell]
P2 0.266 0.011 0.232 [4 per cell]
P3 0.312 0.750 0.626 [2 per cell]
P4 0.324 0.035 0.716 [4 per cell]
O1 0.008 0.750 0.015 [2 per cell]
O2 0.143 0.750 0.538 [2 per cell]
O3 0.148 0.088 0.322 [4 per cell]
O4 0.149 0.624 0.196 [4 per cell]
O5 0.226 0.094 0.605 [4 per cell]
O6 0.278 0.092 0.838 [4 per cell]
O7 0.291 0.627 0.723 [4 per cell]
O8 0.329 0.086 0.121 [4 per cell]
O9 0.376 0.750 0.055 [2 per cell]
O10 0.449 0.551 0.306 [4 per cell]
O11 0.489 0.250 0.424 [2 per cell]

Raw formation energy ... -2.81 eV/atom
Fermi-level density of states ... 0.00 states/eV per cell
Total magnetic moment ... 0.0 μB per formula unit
Energy ... -696.50 eV per cell


(4)
A plane-wave DFT calculation with meta-GGA SCAN was carried out for Er2P4O13 at its PBEsol-relaxed geometry.

a = 11.756 Å, b = 6.689 Å, c = 12.779 Å
α = 90.00°, β = 106.98°, γ = 90.00°
Space group C2/c (No. 15)
Inequivalent atoms, fractional coordinates:
Er1 0.192 0.003 0.048 [8 per cell]
P1 0.012 0.342 0.867 [8 per cell]
P2 0.238 0.489 0.662 [8 per cell]
O1 0.000 0.243 0.750 [4 per cell]
O2 0.007 0.170 0.944 [8 per cell]
O3 0.100 0.482 0.655 [8 per cell]
O4 0.113 0.485 0.899 [8 per cell]
O5 0.193 0.006 0.218 [8 per cell]
O6 0.235 0.186 0.404 [8 per cell]
O7 0.248 0.174 0.904 [8 per cell]

Raw formation energy ... -2.96 eV/atom
E above lowest polymorph ... 0.13 eV per formula unit
Fermi-level density of states ... 0.00 states/eV per cell
Total magnetic moment ... 0.0 μB per formula unit
Energy ... -1117.72 eV per cell


(5)
A plane-wave DFT calculation with meta-GGA SCAN was carried out for ErP5O14 at its PBEsol-relaxed geometry.

a = 12.898 Å, b = 12.784 Å, c = 12.393 Å
α = 90.00°, β = 91.45°, γ = 90.00°
Space group C2/c (No. 15)
Inequivalent atoms, fractional coordinates:
Er1 0.000 0.019 0.250 [4 per cell]
Er2 0.000 0.467 0.250 [4 per cell]
P1 0.023 0.351 0.534 [8 per cell]
P2 0.145 0.032 0.000 [8 per cell]
P3 0.149 0.170 0.605 [8 per cell]
P4 0.175 0.247 0.260 [8 per cell]
P5 0.183 0.366 0.890 [8 per cell]
O1 0.024 0.400 0.426 [8 per cell]
O2 0.059 0.407 0.634 [8 per cell]
O3 0.078 0.064 0.090 [8 per cell]
O4 0.085 0.242 0.524 [8 per cell]
O5 0.090 0.128 0.695 [8 per cell]
O6 0.093 0.303 0.944 [8 per cell]
O7 0.109 0.038 0.886 [8 per cell]
O8 0.113 0.153 0.285 [8 per cell]
O9 0.125 0.348 0.232 [8 per cell]
O10 0.152 0.454 0.820 [8 per cell]
O11 0.193 0.084 0.526 [8 per cell]
O12 0.245 0.239 0.637 [8 per cell]
O13 0.245 0.275 0.836 [8 per cell]
O14 0.249 0.400 0.993 [8 per cell]

Raw formation energy ... -2.61 eV/atom
E above lowest polymorph ... 0.00 eV per formula unit
Fermi-level density of states ... 0.00 states/eV per cell
Total magnetic moment ... 0.0 μB per formula unit
Energy ... -1934.62 eV per cell


(6)
A plane-wave DFT calculation with meta-GGA SCAN was carried out for RbErP2O7 at its PBEsol-relaxed geometry.

a = 7.706 Å, b = 10.868 Å, c = 8.669 Å
α = 90.00°, β = 105.82°, γ = 90.00°
Space group P2_1/c (No. 14)
Inequivalent atoms, fractional coordinates:
Rb1 0.185 0.177 0.062 [4 per cell]
Er1 0.234 0.597 0.253 [4 per cell]
P1 0.130 0.600 0.818 [4 per cell]
P2 0.437 0.638 0.687 [4 per cell]
O1 0.007 0.502 0.718 [4 per cell]
O2 0.077 0.729 0.748 [4 per cell]
O3 0.142 0.592 0.994 [4 per cell]
O4 0.329 0.611 0.516 [4 per cell]
O5 0.331 0.569 0.802 [4 per cell]
O6 0.377 0.079 0.768 [4 per cell]
O7 0.450 0.726 0.232 [4 per cell]

Raw formation energy ... -2.98 eV/atom
Fermi-level density of states ... 0.00 states/eV per cell
Total magnetic moment ... 0.0 μB per formula unit
Energy ... -673.27 eV per cell


(7)
A plane-wave DFT calculation with meta-GGA SCAN was carried out for ErPaO4 at its PBEsol-relaxed geometry.

a = 3.754 Å, b = 3.754 Å, c = 5.290 Å
α = 90.00°, β = 90.00°, γ = 90.00°
Space group P4/mmm (No. 123)
Inequivalent atoms, fractional coordinates:
Er1 0.000 0.000 0.000 [1 per cell]
Pa1 0.500 0.500 0.500 [1 per cell]
O1 0.000 0.500 0.257 [4 per cell]

Raw formation energy ... -4.04 eV/atom
Fermi-level density of states ... 0.00 states/eV per cell
Total magnetic moment ... 0.0 μB per formula unit
Energy ... -199.19 eV per cell


(8)
A plane-wave DFT calculation with meta-GGA SCAN was carried out for Er2Pb2O7 at its PBEsol-relaxed geometry.

a = 10.573 Å, b = 10.573 Å, c = 10.573 Å
α = 90.00°, β = 90.00°, γ = 90.00°
Space group Fd-3m (No. 227, origin choice 2)
Inequivalent atoms, fractional coordinates:
Er1 0.000 0.000 0.000 [16 per cell]
Pb1 0.000 0.000 0.500 [16 per cell]
O1 0.102 0.375 0.875 [48 per cell]
O2 0.125 0.125 0.125 [8 per cell]

Raw formation energy ... -2.28 eV/atom
Total magnetic moment ... 0.0 μB per formula unit
Energy ... -2567.33 eV per cell


Please write out number 1 again, unchanged.
A plane-wave DFT calculation with meta-GGA SCAN was carried out for Er2P4O13 at its PBEsol-relaxed geometry.

a = 8.975 Å, b = 9.254 Å, c = 13.745 Å
α = 90.00°, β = 107.78°, γ = 90.00°
Space group P2_1/c (No. 14)
Inequivalent atoms, fractional coordinates:
Er1 0.025 0.001 0.217 [4 per cell]
Er2 0.440 0.006 0.224 [4 per cell]
P1 0.174 0.229 0.440 [4 per cell]
P2 0.222 0.199 0.661 [4 per cell]
P3 0.283 0.739 0.341 [4 per cell]
P4 0.486 0.739 0.055 [4 per cell]
O1 0.078 0.136 0.917 [4 per cell]
O2 0.121 0.116 0.711 [4 per cell]
O3 0.131 0.678 0.347 [4 per cell]
O4 0.137 0.112 0.361 [4 per cell]
O5 0.157 0.157 0.541 [4 per cell]
O6 0.207 0.134 0.167 [4 per cell]
O7 0.253 0.632 0.765 [4 per cell]
O8 0.355 0.224 0.971 [4 per cell]
O9 0.373 0.684 0.948 [4 per cell]
O10 0.390 0.627 0.319 [4 per cell]
O11 0.393 0.158 0.698 [4 per cell]
O12 0.423 0.624 0.586 [4 per cell]
O13 0.487 0.113 0.373 [4 per cell]

Raw formation energy ... -2.96 eV/atom
E above lowest polymorph ... 0.00 eV per formula unit
Fermi-level density of states ... 0.00 states/eV per cell
Total magnetic moment ... 0.0 μB per formula unit
Energy ... -1118.25 eV per cell